Material: TbPr5Pb6
Method: DFT, GGA-PBE
State: optimized geometry

Lattice parameters (Å, degrees): 5.080 9.258 8.126 90.00 107.67 90.00
Fractional coordinates of all 12 atoms:
Tb  0.000  0.000  0.000
Pr  0.000  0.500  0.000
Pr  0.333  0.500  0.667
Pr  0.335  0.000  0.670
Pr  0.665  0.000  0.330
Pr  0.667  0.500  0.333
Pb  0.165  0.248  0.330
Pb  0.165  0.752  0.330
Pb  0.500  0.248  0.000
Pb  0.500  0.752  0.000
Pb  0.835  0.248  0.670
Pb  0.835  0.752  0.670

Output
As for the space-group type: P2/m (10). For the density of states at the Fermi level, the calculation gives 10.23 states/eV per cell. Its spin magnetization is 0.1 μB/f.u. For the energy of formation, the calculation gives -6.2 eV/f.u.

***

Material: TbPr5Pb3
Method: DFT, GGA-PBE
State: optimized geometry

Lattice parameters (Å, degrees): 9.819 9.819 6.843 90.00 90.00 120.00
Fractional coordinates of all 18 atoms:
Tb  0.000  0.000  0.000
Tb  0.000  0.000  0.500
Pr  0.000  0.331  0.250
Pr  0.000  0.669  0.750
Pr  0.331  0.000  0.250
Pr  0.331  0.331  0.750
Pr  0.333  0.667  0.000
Pr  0.333  0.667  0.500
Pr  0.667  0.333  0.000
Pr  0.667  0.333  0.500
Pr  0.669  0.000  0.750
Pr  0.669  0.669  0.250
Pb  0.000  0.334  0.750
Pb  0.000  0.666  0.250
Pb  0.334  0.000  0.750
Pb  0.334  0.334  0.250
Pb  0.666  0.000  0.250
Pb  0.666  0.666  0.750

Output
As for the space-group type: P6_3/mcm (193). For the density of states at the Fermi level, the calculation gives 20.21 states/eV per cell. Its spin magnetization is 3.1 μB/f.u. For the energy of formation, the calculation gives -3.8 eV/f.u.

***

Material: Tb2PrPb
Method: DFT, GGA-PBE
State: optimized geometry

Lattice parameters (Å, degrees): 6.688 6.688 9.650 90.00 90.00 142.48
Fractional coordinates of all 8 atoms:
Tb  0.137  0.863  0.546
Tb  0.137  0.863  0.954
Tb  0.863  0.137  0.046
Tb  0.863  0.137  0.454
Pr  0.445  0.555  0.750
Pr  0.555  0.445  0.250
Pb  0.258  0.742  0.250
Pb  0.742  0.258  0.750

Output
As for the space-group type: Cmcm (63). For the density of states at the Fermi level, the calculation gives 11.57 states/eV per cell. Its spin magnetization is 1.1 μB/f.u. For the energy of formation, the calculation gives -1.0 eV/f.u.

***

Material: TbPrPb2
Method: DFT, GGA-PBE
State: optimized geometry

Lattice parameters (Å, degrees): 3.596 3.596 9.139 90.00 90.00 90.00
Fractional coordinates of all 4 atoms:
Tb  0.000  0.000  0.000
Pr  0.000  0.000  0.500
Pb  0.500  0.500  0.242
Pb  0.500  0.500  0.758

Output
As for the space-group type: P4/mmm (123). For the density of states at the Fermi level, the calculation gives 3.86 states/eV per cell. Its spin magnetization is 0.0 μB/f.u. For the energy of formation, the calculation gives -1.9 eV/f.u.

***

Material: TbPr2Pb
Method: DFT, GGA-PBE
State: optimized geometry

Lattice parameters (Å, degrees): 12.579 12.579 12.579 16.56 16.56 16.56
Fractional coordinates of all 4 atoms:
Tb  0.000  0.000  0.000
Pr  0.412  0.412  0.412
Pr  0.588  0.588  0.588
Pb  0.500  0.500  0.500

Output
As for the space-group type: R-3m (166). For the density of states at the Fermi level, the calculation gives 3.95 states/eV per cell. Its spin magnetization is 0.0 μB/f.u. For the energy of formation, the calculation gives 0.2 eV/f.u.

***

Material: TbPrPb2
Method: DFT, GGA-PBE
State: optimized geometry

Lattice parameters (Å, degrees): 7.409 7.409 7.409 38.09 38.09 38.09
Fractional coordinates of all 4 atoms:
Tb  0.000  0.000  0.000
Pr  0.177  0.177  0.177
Pb  0.594  0.594  0.594
Pb  0.752  0.752  0.752

Output
As for the space-group type: R3m (160). For the density of states at the Fermi level, the calculation gives 3.85 states/eV per cell. Its spin magnetization is 0.0 μB/f.u. For the energy of formation, the calculation gives -1.4 eV/f.u.

***

Material: Tb2Pr8Pb
Method: DFT, GGA-PBE
State: optimized geometry

Lattice parameters (Å, degrees): 9.678 9.678 8.225 104.99 104.99 30.41
Fractional coordinates of all 11 atoms:
Tb  0.225  0.225  0.132
Tb  0.775  0.775  0.868
Pr  0.044  0.044  0.231
Pr  0.138  0.138  0.681
Pr  0.322  0.322  0.592
Pr  0.409  0.409  0.057
Pr  0.591  0.591  0.943
Pr  0.678  0.678  0.408
Pr  0.862  0.862  0.319
Pr  0.956  0.956  0.769
Pb  0.500  0.500  0.500

Output
As for the space-group type: C2/m (12). For the density of states at the Fermi level, the calculation gives 15.39 states/eV per cell. Its spin magnetization is 0.0 μB/f.u. For the energy of formation, the calculation gives -0.9 eV/f.u.

***

Material: TbPr2Pb
Method: DFT, GGA-PBE
State: optimized geometry

Lattice parameters (Å, degrees): 13.773 13.773 5.784 90.00 90.00 165.37
Fractional coordinates of all 8 atoms:
Tb  0.028  0.972  0.750
Tb  0.972  0.028  0.250
Pr  0.093  0.907  0.250
Pr  0.185  0.815  0.750
Pr  0.815  0.185  0.250
Pr  0.907  0.093  0.750
Pb  0.303  0.697  0.750
Pb  0.697  0.303  0.250

Output
As for the space-group type: Cmcm (63). For the density of states at the Fermi level, the calculation gives 10.69 states/eV per cell. Its spin magnetization is 0.0 μB/f.u. For the energy of formation, the calculation gives 0.1 eV/f.u.

***

Material: Tb2PrPb
Method: DFT, GGA-PBE
State: optimized geometry

Lattice parameters (Å, degrees): 4.745 4.771 11.693 90.00 101.64 90.00
Fractional coordinates of all 8 atoms:
Tb  0.058  0.250  0.115
Tb  0.438  0.250  0.876
Tb  0.562  0.750  0.124
Tb  0.942  0.750  0.885
Pr  0.191  0.750  0.385
Pr  0.809  0.250  0.615
Pb  0.338  0.750  0.672
Pb  0.662  0.250  0.328

Output
As for the space-group type: P2_1/m (11). For the density of states at the Fermi level, the calculation gives 10.39 states/eV per cell. Its spin magnetization is 0.0 μB/f.u. For the energy of formation, the calculation gives -1.2 eV/f.u.

***

Material: TbPr2Pb2
Method: DFT, GGA-PBE
State: optimized geometry

Lattice parameters (Å, degrees): 8.352 8.352 4.616 90.00 90.00 90.00
Fractional coordinates of all 10 atoms:
Tb  0.000  0.000  0.000
Tb  0.500  0.500  0.000
Pr  0.169  0.331  0.500
Pr  0.331  0.831  0.500
Pr  0.669  0.169  0.500
Pr  0.831  0.669  0.500
Pb  0.136  0.636  0.000
Pb  0.364  0.136  0.000
Pb  0.636  0.864  0.000
Pb  0.864  0.364  0.000

Output
As for the space-group type: P4/mbm (127). For the density of states at the Fermi level, the calculation gives 10.12 states/eV per cell. Its spin magnetization is 0.0 μB/f.u. For the energy of formation, the calculation gives -2.6 eV/f.u.

***

Material: TbPr2Pb
Method: DFT, GGA-PBE
State: optimized geometry

Lattice parameters (Å, degrees): 11.561 11.561 11.561 18.35 18.35 18.35
Fractional coordinates of all 4 atoms:
Tb  0.000  0.000  0.000
Pr  0.248  0.248  0.248
Pr  0.419  0.419  0.419
Pb  0.834  0.834  0.834

Output
As for the space-group type: R3m (160). For the density of states at the Fermi level, the calculation gives 4.59 states/eV per cell. Its spin magnetization is 0.0 μB/f.u. For the energy of formation, the calculation gives -0.6 eV/f.u.

***

Material: Tb5PrPb4
Method: DFT, GGA-PBE
State: optimized geometry

Lattice parameters (Å, degrees): 9.394 9.394 8.142 102.80 102.80 28.12
Fractional coordinates of all 10 atoms:
Tb  0.000  0.000  0.000
Tb  0.292  0.292  0.190
Tb  0.361  0.361  0.776
Tb  0.639  0.639  0.224
Tb  0.708  0.708  0.810
Pr  0.000  0.000  0.500
Pb  0.185  0.185  0.513
Pb  0.461  0.461  0.215
Pb  0.539  0.539  0.785
Pb  0.815  0.815  0.487

Output
As for the space-group type: C2/m (12). For the density of states at the Fermi level, the calculation gives 10.73 states/eV per cell. Its spin magnetization is 0.5 μB/f.u. For the energy of formation, the calculation gives -2.5 eV/f.u.

***

Material: TbPr6Pb
Method: DFT, GGA-PBE
State: optimized geometry

Lattice parameters (Å, degrees): 5.069 5.069 10.488 90.00 90.00 90.00
Fractional coordinates of all 8 atoms:
Tb  0.000  0.000  0.000
Pr  0.000  0.500  0.256
Pr  0.000  0.500  0.744
Pr  0.500  0.000  0.256
Pr  0.500  0.000  0.744
Pr  0.500  0.500  0.000
Pr  0.500  0.500  0.500
Pb  0.000  0.000  0.500

Output
As for the space-group type: P4/mmm (123). For the density of states at the Fermi level, the calculation gives 7.96 states/eV per cell. Its spin magnetization is 0.0 μB/f.u. For the energy of formation, the calculation gives -1.2 eV/f.u.

***

Material: TbPr3Pb
Method: DFT, GGA-PBE
State: optimized geometry

Lattice parameters (Å, degrees): 8.997 8.839 10.065 90.00 121.18 90.00
Fractional coordinates of all 20 atoms:
Tb  0.246  0.065  0.467
Tb  0.246  0.435  0.967
Tb  0.754  0.565  0.033
Tb  0.754  0.935  0.533
Pr  0.096  0.704  0.559
Pr  0.096  0.796  0.059
Pr  0.188  0.065  0.791
Pr  0.188  0.435  0.291
Pr  0.408  0.087  0.200
Pr  0.408  0.413  0.700
Pr  0.592  0.587  0.300
Pr  0.592  0.913  0.800
Pr  0.812  0.565  0.709
Pr  0.812  0.935  0.209
Pr  0.904  0.204  0.941
Pr  0.904  0.296  0.441
Pb  0.403  0.746  0.461
Pb  0.403  0.754  0.961
Pb  0.597  0.246  0.039
Pb  0.597  0.254  0.539

Output
As for the space-group type: P2_1/c (14). For the density of states at the Fermi level, the calculation gives 21.71 states/eV per cell. Its spin magnetization is 0.0 μB/f.u. For the energy of formation, the calculation gives -0.9 eV/f.u.

***

Material: Tb2PrPb
Method: DFT, GGA-PBE
State: optimized geometry

Lattice parameters (Å, degrees): 11.363 11.363 11.363 18.41 18.41 18.41
Fractional coordinates of all 4 atoms:
Tb  0.000  0.000  0.000
Tb  0.177  0.177  0.177
Pr  0.422  0.422  0.422
Pb  0.588  0.588  0.588

Output
As for the space-group type: R3m (160). For the density of states at the Fermi level, the calculation gives 3.41 states/eV per cell. Its spin magnetization is 0.0 μB/f.u. For the energy of formation, the calculation gives -0.6 eV/f.u.

***

Material: Tb2PrPb
Method: DFT, GGA-PBE
State: optimized geometry

Lattice parameters (Å, degrees): 4.946 4.946 4.899 90.00 90.00 90.00
Fractional coordinates of all 4 atoms:
Tb  0.000  0.500  0.000
Tb  0.500  0.000  0.000
Pr  0.000  0.000  0.500
Pb  0.500  0.500  0.500

Output
As for the space-group type: P4/mmm (123). For the density of states at the Fermi level, the calculation gives 5.75 states/eV per cell. Its spin magnetization is 0.0 μB/f.u. For the energy of formation, the calculation gives -1.2 eV/f.u.

***

Material: TbPr12Pb3
Method: DFT, GGA-PBE
State: optimized geometry

Lattice parameters (Å, degrees): 5.049 5.049 20.582 90.00 90.00 90.00
Fractional coordinates of all 16 atoms:
Tb  0.000  0.000  0.000
Pr  0.000  0.500  0.131
Pr  0.000  0.500  0.378
Pr  0.000  0.500  0.622
Pr  0.000  0.500  0.869
Pr  0.500  0.000  0.131
Pr  0.500  0.000  0.378
Pr  0.500  0.000  0.622
Pr  0.500  0.000  0.869
Pr  0.500  0.500  0.000
Pr  0.500  0.500  0.255
Pr  0.500  0.500  0.500
Pr  0.500  0.500  0.745
Pb  0.000  0.000  0.255
Pb  0.000  0.000  0.500
Pb  0.000  0.000  0.745

Output
As for the space-group type: P4/mmm (123). For the density of states at the Fermi level, the calculation gives 18.05 states/eV per cell. Its spin magnetization is 0.0 μB/f.u. For the energy of formation, the calculation gives -3.9 eV/f.u.

***

Material: TbPrPb2
Method: DFT, GGA-PBE
State: optimized geometry

Lattice parameters (Å, degrees): 9.036 9.036 9.036 26.59 26.59 26.59
Fractional coordinates of all 4 atoms:
Tb  0.000  0.000  0.000
Pr  0.500  0.500  0.500
Pb  0.253  0.253  0.253
Pb  0.747  0.747  0.747

Output
As for the space-group type: R-3m (166). For the density of states at the Fermi level, the calculation gives 3.69 states/eV per cell. Its spin magnetization is 0.0 μB/f.u. For the energy of formation, the calculation gives -1.5 eV/f.u.

***

Material: TbPr2Pb
Method: DFT, GGA-PBE
State: optimized geometry

Lattice parameters (Å, degrees): 4.952 4.952 5.048 90.00 90.00 90.00
Fractional coordinates of all 4 atoms:
Tb  0.000  0.000  0.000
Pr  0.000  0.500  0.500
Pr  0.500  0.000  0.500
Pb  0.500  0.500  0.000

Output
As for the space-group type: P4/mmm (123). For the density of states at the Fermi level, the calculation gives 4.46 states/eV per cell. Its spin magnetization is 0.0 μB/f.u. For the energy of formation, the calculation gives -1.3 eV/f.u.

***

Material: TbPr3Pb4
Method: DFT, GGA-PBE
State: optimized geometry

Lattice parameters (Å, degrees): 10.356 10.356 10.356 159.31 138.05 47.22
Fractional coordinates of all 8 atoms:
Tb  0.000  0.000  0.000
Pr  0.221  0.721  0.500
Pr  0.500  0.500  0.000
Pr  0.779  0.279  0.500
Pb  0.154  0.874  0.280
Pb  0.405  0.126  0.280
Pb  0.595  0.874  0.720
Pb  0.846  0.126  0.720

Output
As for the space-group type: Immm (71). For the density of states at the Fermi level, the calculation gives 6.71 states/eV per cell. Its spin magnetization is 0.0 μB/f.u. For the energy of formation, the calculation gives -3.1 eV/f.u.